Material: SrYCl2
Method: DFT, PBE
State: optimized geometry

The value obtained for the relative energy among the computed polymorphs is 161 meV/atom.

Cell lengths 3.883, 4.589, 6.567 Å; angles 90.00, 94.14, 90.00 degrees
Atoms (fractional coordinates):
Sr (0.000, 0.000, 0.000)
Y (0.500, 0.000, 0.500)
Cl (0.365, 0.500, 0.250)
Cl (0.635, 0.500, 0.750)

***

Material: Tb3Pu2ThTe6
Method: DFT, PBE
State: optimized geometry

The total DFT energy (no corrections) comes out at -6.94 eV per atom.

Cell lengths 9.876, 9.876, 8.887 Å; angles 103.61, 103.61, 25.56 degrees
Atoms (fractional coordinates):
Tb (0.000, 0.000, 0.000)
Tb (0.335, 0.335, 0.666)
Tb (0.665, 0.665, 0.334)
Pu (0.334, 0.334, 0.168)
Pu (0.666, 0.666, 0.832)
Th (0.000, 0.000, 0.500)
Te (0.166, 0.166, 0.085)
Te (0.170, 0.170, 0.582)
Te (0.499, 0.499, 0.758)
Te (0.501, 0.501, 0.242)
Te (0.830, 0.830, 0.418)
Te (0.834, 0.834, 0.915)

***

Material: CaHgSe2
Method: DFT, PBE
State: optimized geometry

The total DFT energy (no corrections) comes out at -3.10 eV per atom.

Cell lengths 5.293, 5.293, 3.914 Å; angles 104.16, 104.16, 88.26 degrees
Atoms (fractional coordinates):
Ca (0.000, 0.000, 0.000)
Hg (0.500, 0.500, 0.000)
Se (0.000, 0.500, 0.500)
Se (0.500, 0.000, 0.500)

***

no.,DOS at the Fermi energy (states/eV/f.u.),calculated density (g/cm3)
1,2.538,3.5
2,23.803,9.0
3,1.847,6.4